1.
Material: Tl2HgAs
Method: DFT, PBE
State: relaxed

M_tot in μB per formula unit: 0.00
Crystal system: trigonal
Energy relative to the lowest polymorph listed for this composition in meV per atom: 4
Volume in Å³/atom: 30.75

Geometry as POSCAR:
```
Tl2HgAs
1.0
4.3681 0.0000 0.0000
2.1841 3.7829 0.0000
2.1841 1.2610 7.4432
Tl Hg As
2 1 1
Cartesian
2.1841 1.2610 5.9120 Tl
2.1841 1.2610 1.5386 Tl
4.3681 2.5219 3.7507 Hg
6.5522 3.7829 7.4065 As
```



2.
Material: Sb3ICl
Method: DFT, PBE
State: relaxed

M_tot in μB per formula unit: 0.00
Crystal system: cubic
Energy relative to the lowest polymorph listed for this composition in meV per atom: 234
Volume in Å³/atom: 39.39

Geometry as POSCAR:
```
Sb3ICl
1.0
-0.9304 -2.6473 -5.0965
1.7161 -5.0552 2.3125
-5.4807 -1.1334 1.5893
I Sb Cl
1 3 1
Cartesian
0.0000 0.0000 0.0000 I
0.8580 -2.5276 1.1563 Sb
-2.7403 -0.5667 0.7946 Sb
-0.4652 -1.3236 -2.5483 Sb
-2.3475 -4.4180 -0.5974 Cl
```



3.
Material: NdHo3Mg4
Method: DFT, PBE
State: relaxed

M_tot in μB per formula unit: 0.00
Crystal system: tetragonal
Volume in Å³/atom: 27.48
E_tot in eV per atom: -3.19

Geometry as POSCAR:
```
NdHo3Mg4
1.0
5.3710 0.0000 0.0000
0.0000 7.6188 0.0000
0.0000 0.0000 10.7431
Mg Nd Ho
8 2 6
Cartesian
2.6855 5.7451 0.0000 Mg
2.6855 5.7451 5.3716 Mg
2.6855 1.8737 0.0000 Mg
2.6855 1.8737 5.3716 Mg
0.0003 5.7451 8.0573 Mg
5.3706 5.7451 2.6858 Mg
5.3706 1.8736 2.6858 Mg
0.0003 1.8736 8.0573 Mg
0.0000 3.8094 0.0000 Nd
0.0000 3.8094 5.3716 Nd
0.0000 0.0000 0.0000 Ho
0.0000 0.0000 5.3716 Ho
2.6860 0.0000 8.0573 Ho
2.6850 0.0000 2.6858 Ho
2.6860 3.8094 8.0573 Ho
2.6850 3.8094 2.6858 Ho
```